{"formula": "LaAl4Rh", "functional": "PBE", "state": "relaxed", "dos_ef_per_ev_fu": 3.44, "crystal_system": "tetragonal", "delta_e_f_ev_per_atom": -0.413, "sg": "I4/mcm", "final_energy_ev_per_cell": -59.45, "lattice_angstrom": [[-2.9115, 2.9115, 7.5644], [2.9115, -2.9115, 7.5644], [2.9115, 2.9115, -7.5644]], "species": ["La", "La", "Al", "Al", "Al", "Al", "Al", "Al", "Al", "Al", "Rh", "Rh"], "fractional_positions": [[0.0000, 0.0000, 0.0000], [0.5000, 0.5000, 0.0000], [0.0223, 0.5223, 0.8676], [0.1547, 0.0223, 0.5000], [0.3453, 0.8453, 0.8676], [0.4777, 0.3453, 0.5000], [0.5223, 0.6547, 0.5000], [0.6547, 0.1547, 0.1324], [0.8453, 0.9777, 0.5000], [0.9777, 0.4777, 0.1324], [0.2500, 0.2500, 0.0000], [0.7500, 0.7500, 0.0000]]}

=====

{"formula": "MgBeF4", "functional": "PBE", "state": "relaxed", "polymorph_energy_mev_per_atom": 0.0, "dos_ef_per_ev_fu": 0.00, "crystal_system": "tetragonal", "sg": "I4_1/amd", "final_energy_ev_per_cell": -65.87, "lattice_angstrom": [[-3.1951, 3.1951, 2.9457], [3.1951, -3.1951, 2.9457], [3.1951, 3.1951, -2.9457]], "species": ["Mg", "Mg", "Be", "Be", "F", "F", "F", "F", "F", "F", "F", "F"], "fractional_positions": [[0.3750, 0.6250, 0.7500], [0.6250, 0.3750, 0.2500], [0.1250, 0.8750, 0.2500], [0.8750, 0.1250, 0.7500], [0.1449, 0.7059, 0.4391], [0.2332, 0.2941, 0.9391], [0.2941, 0.2332, 0.4391], [0.2941, 0.8551, 0.0609], [0.7059, 0.1449, 0.9391], [0.7059, 0.7668, 0.5609], [0.7668, 0.7059, 0.0609], [0.8551, 0.2941, 0.5609]]}

=====

{"formula": "VZnNiIr2", "functional": "PBE", "state": "relaxed", "dos_ef_per_ev_fu": 11.35, "crystal_system": "tetragonal", "delta_e_f_ev_per_atom": 1.265, "sg": "P4/mmm", "final_energy_ev_per_cell": -27.57, "lattice_angstrom": [[4.4926, 0.0000, 0.0000], [0.0000, 4.4926, 0.0000], [0.0000, 0.0000, 4.1490]], "species": ["V", "Zn", "Ni", "Ir", "Ir"], "fractional_positions": [[0.0000, 0.0000, 0.0000], [0.5000, 0.5000, 0.5000], [0.5000, 0.5000, 0.0000], [0.0000, 0.5000, 0.5000], [0.5000, 0.0000, 0.5000]]}

=====

no.,calculated volume (Å³/f.u.)
1,128.2
2,60.1
3,83.7